[1]
Cr11W5 | Alexandria | PBEsol | relaxed; formation energy = 107 meV per atom; V = 203.50 Å³/cell; Fermi-level density of states = 0.663 states/eV per atom; E_tot = -179.99 eV per cell; symmetry = Pm, No. 6
1.0
5.875 0.000 0.000
0.000 5.881 0.000
-0.043 0.000 5.890
Cr W
11 5
Direct
0.000 0.000 0.000
0.001 0.000 0.514
0.251 0.253 0.759
0.251 0.747 0.759
0.506 0.500 0.515
0.510 0.500 0.001
0.755 0.254 0.254
0.755 0.746 0.254
0.757 0.254 0.762
0.757 0.746 0.762
0.996 0.500 0.003
0.249 0.253 0.253
0.249 0.747 0.253
0.513 0.000 0.001
0.513 0.000 0.513
0.994 0.500 0.517



[2]
NaLa3Os | Alexandria | PBEsol | relaxed; formation energy = 43 meV per atom; V = 178.40 Å³/cell; Fermi-level density of states = 0.780 states/eV per atom; E_tot = -29.44 eV per cell; symmetry = Pm-3m, No. 221
1.0
5.629 0.000 0.000
0.000 5.629 0.000
0.000 0.000 5.629
Na La Os
1 3 1
Direct
0.000 0.000 0.000
0.000 0.500 0.500
0.500 0.000 0.500
0.500 0.500 0.000
0.500 0.500 0.500



[3]
TaTi2Ni2 | Alexandria | PBEsol | relaxed; formation energy = -243 meV per atom; V = 141.20 Å³/cell; Fermi-level density of states = 1.165 states/eV per atom; E_tot = -85.45 eV per cell; symmetry = P4/mbm, No. 127
1.0
6.939 0.000 0.000
0.000 6.939 0.000
0.000 0.000 2.932
Ta Ti Ni
2 4 4
Direct
0.000 0.000 0.000
0.500 0.500 0.000
0.168 0.332 0.500
0.332 0.832 0.500
0.668 0.168 0.500
0.832 0.668 0.500
0.127 0.627 0.000
0.373 0.127 0.000
0.627 0.873 0.000
0.873 0.373 0.000



Q: What is the V in the first record?
A: 203.50 Å³/cell



Q: Which of these has the lowest V?
A: TaTi2Ni2